Here is crystalline KBrCl4 at its relaxed geometry from Alexandria. Energies are from PBE-GGA.

Properties
For the uncorrected energy, the calculation gives -2.3285 eV per atom. Its formation energy without anion corrections is -636 meV per atom. Its energy above the most stable polymorph in this dataset is 0.00 kJ per mole of atoms.

```
data_KBrCl4
_chemical_formula_sum 'K4 Br4 Cl16'
_cell_length_a 15.290
_cell_length_b 7.641
_cell_length_c 7.634
_cell_angle_alpha 90.00
_cell_angle_beta 119.77
_cell_angle_gamma 90.00
_space_group_name_H-M_alt 'C 1 2/c 1'
_space_group_IT_number 15
loop_
_space_group_symop_operation_xyz
'x,y,z'
'-x,-y,-z'
'-x,y,-z+1/2'
'x,-y,z+1/2'
'x+1/2,y+1/2,z'
'-x+1/2,-y+1/2,-z'
'-x+1/2,y+1/2,-z+1/2'
'x+1/2,-y+1/2,z+1/2'
loop_
_atom_site_label
_atom_site_type_symbol
_atom_site_fract_x
_atom_site_fract_y
_atom_site_fract_z
_atom_site_occupancy
K1 K 0.000 0.249 0.250 1
Br1 Br 0.250 0.250 0.000 1
Cl1 Cl 0.123 0.409 0.031 1
Cl2 Cl 0.124 0.091 0.714 1
```

Here is crystalline Be2TlFe4 at its relaxed geometry from Alexandria. Energies are from PBE-GGA.

Properties
The calculation puts the calculated formation energy at 1493 meV/atom. For the uncorrected energy, the calculation gives -4.7454 eV per atom.

```
data_Be2TlFe4
_chemical_formula_sum 'Be4 Tl2 Fe8'
_cell_length_a 4.727
_cell_length_b 4.727
_cell_length_c 11.604
_cell_angle_alpha 90.00
_cell_angle_beta 90.00
_cell_angle_gamma 90.00
_space_group_name_H-M_alt 'I 4/m m m'
_space_group_IT_number 139
_space_group_name_Hall '-I 4 2'
loop_
_atom_site_label
_atom_site_type_symbol
_atom_site_fract_x
_atom_site_fract_y
_atom_site_fract_z
_atom_site_occupancy
Be1 Be 0.000 0.000 0.084 1
Tl1 Tl 0.000 0.000 0.500 1
Fe1 Fe 0.000 0.000 0.269 1
Fe2 Fe 0.000 0.500 0.000 1
```

Here is crystalline Na3VSn at its relaxed geometry from Alexandria. Energies are from PBE-GGA.

Properties
The calculation puts the calculated formation energy at 879 meV/atom. For the uncorrected energy, the calculation gives -2.5365 eV per atom. Its energy above the most stable polymorph in this dataset is 0.00 kJ per mole of atoms.

```
data_Na3VSn
_chemical_formula_sum 'Na3 V1 Sn1'
_cell_length_a 5.795
_cell_length_b 5.795
_cell_length_c 5.795
_cell_angle_alpha 90.00
_cell_angle_beta 90.00
_cell_angle_gamma 90.00
_space_group_name_H-M_alt 'P m -3 m'
_space_group_IT_number 221
_space_group_name_Hall '-P 4 2 3'
loop_
_atom_site_label
_atom_site_type_symbol
_atom_site_fract_x
_atom_site_fract_y
_atom_site_fract_z
_atom_site_occupancy
Na1 Na 0.000 0.000 0.500 1
V1 V 0.500 0.500 0.500 1
Sn1 Sn 0.000 0.000 0.000 1
```

Here is crystalline NaMgAgSe2 at its relaxed geometry from Alexandria. Energies are from PBE-GGA.

Properties
For the uncorrected energy, the calculation gives -3.3806 eV per atom. Its formation energy without anion corrections is -834 meV per atom.

```
data_NaMgAgSe2
_chemical_formula_sum 'Na2 Mg2 Ag2 Se4'
_cell_length_a 6.267
_cell_length_b 6.142
_cell_length_c 6.915
_cell_angle_alpha 90.00
_cell_angle_beta 90.15
_cell_angle_gamma 90.00
_space_group_name_H-M_alt 'P 1 2/c 1'
_space_group_IT_number 13
loop_
_space_group_symop_operation_xyz
'x,y,z'
'-x,-y,-z'
'-x,y,-z+1/2'
'x,-y,z+1/2'
loop_
_atom_site_label
_atom_site_type_symbol
_atom_site_fract_x
_atom_site_fract_y
_atom_site_fract_z
_atom_site_occupancy
Na1 Na 0.000 0.002 0.250 1
Mg1 Mg 0.500 0.500 0.250 1
Ag1 Ag 0.500 0.000 0.000 1
Se1 Se 0.243 0.309 0.999 1
```

Here is crystalline Ca6Ge2N at its relaxed geometry from Alexandria. Energies are from PBE-GGA.

Properties
For the uncorrected energy, the calculation gives -3.9214 eV per atom. Its formation energy without anion corrections is -636 meV per atom. Its energy above the most stable polymorph in this dataset is 2.73 kJ per mole of atoms.

```
data_Ca6Ge2N
_chemical_formula_sum 'Ca24 Ge8 N4'
_cell_length_a 9.698
_cell_length_b 9.698
_cell_length_c 9.698
_cell_angle_alpha 90.00
_cell_angle_beta 90.00
_cell_angle_gamma 90.00
_space_group_name_H-M_alt 'F m -3 m'
_space_group_IT_number 225
_space_group_name_Hall '-F 4 2 3'
loop_
_atom_site_label
_atom_site_type_symbol
_atom_site_fract_x
_atom_site_fract_y
_atom_site_fract_z
_atom_site_occupancy
Ca1 Ca 0.000 0.000 0.241 1
Ge1 Ge 0.250 0.250 0.250 1
N1 N 0.000 0.000 0.000 1
```

Here is crystalline Hf2TiPd7 at its relaxed geometry from Alexandria. Energies are from PBE-GGA.

Properties
The calculation puts the calculated formation energy at -144 meV/atom. For the uncorrected energy, the calculation gives -6.5590 eV per atom.

```
data_Hf2TiPd7
_chemical_formula_sum 'Hf4 Ti2 Pd14'
_cell_length_a 8.153
_cell_length_b 15.554
_cell_length_c 2.958
_cell_angle_alpha 90.00
_cell_angle_beta 90.00
_cell_angle_gamma 90.00
_space_group_name_H-M_alt 'C m m m'
_space_group_IT_number 65
_space_group_name_Hall '-C 2 2'
loop_
_atom_site_label
_atom_site_type_symbol
_atom_site_fract_x
_atom_site_fract_y
_atom_site_fract_z
_atom_site_occupancy
Hf1 Hf 0.000 0.170 0.000 1
Ti1 Ti 0.000 0.500 0.500 1
Pd1 Pd 0.000 0.000 0.000 1
Pd2 Pd 0.000 0.309 0.500 1
Pd3 Pd 0.214 0.408 0.000 1
```

Here is crystalline CdSbMo at its relaxed geometry from Alexandria. Energies are from PBE-GGA.

Properties
For the uncorrected energy, the calculation gives -4.8827 eV per atom. Its formation energy without anion corrections is 407 meV per atom. Its energy above the most stable polymorph in this dataset is 8.57 kJ per mole of atoms.

```
data_CdSbMo
_chemical_formula_sum 'Cd1 Sb1 Mo1'
_cell_length_a 3.2401
_cell_length_b 3.2401
_cell_length_c 7.1389
_cell_angle_alpha 90.00
_cell_angle_beta 90.00
_cell_angle_gamma 120.00
_space_group_name_H-M_alt 'P 3 m 1'
_space_group_IT_number 156
loop_
_space_group_symop_operation_xyz
'x,y,z'
'-y,x-y,z'
'-x+y,-x,z'
'-y,-x,z'
'-x+y,y,z'
'x,x-y,z'
loop_
_atom_site_label
_atom_site_type_symbol
_atom_site_fract_x
_atom_site_fract_y
_atom_site_fract_z
_atom_site_occupancy
Cd1 Cd 0.0000 0.0000 0.0000 1
Sb1 Sb 0.3333 0.6667 0.5977 1
Mo1 Mo 0.6667 0.3333 0.3188 1
```

Here is crystalline CaCrTe at its relaxed geometry from Alexandria. Energies are from PBE-GGA.

Properties
For the uncorrected energy, the calculation gives -4.8217 eV per atom. Its formation energy without anion corrections is 101 meV per atom. Its energy above the most stable polymorph in this dataset is 37.89 kJ per mole of atoms.

```
data_CaCrTe
_chemical_formula_sum 'Ca4 Cr4 Te4'
_cell_length_a 7.243
_cell_length_b 7.243
_cell_length_c 7.243
_cell_angle_alpha 90.00
_cell_angle_beta 90.00
_cell_angle_gamma 90.00
_space_group_name_H-M_alt 'F -4 3 m'
_space_group_IT_number 216
_space_group_name_Hall 'F -4 2 3'
loop_
_atom_site_label
_atom_site_type_symbol
_atom_site_fract_x
_atom_site_fract_y
_atom_site_fract_z
_atom_site_occupancy
Ca1 Ca 0.000 0.000 0.000 1
Cr1 Cr 0.250 0.250 0.250 1
Te1 Te 0.250 0.250 0.750 1
```

Here is crystalline PuAsS2 at its relaxed geometry from Alexandria. Energies are from PBE-GGA.

Properties
For the uncorrected energy, the calculation gives -6.9651 eV per atom. Its formation energy without anion corrections is -156 meV per atom.

```
data_PuAsS2
_chemical_formula_sum 'Pu3 As3 S6'
_cell_length_a 3.6654
_cell_length_b 3.6654
_cell_length_c 25.1482
_cell_angle_alpha 90.00
_cell_angle_beta 90.00
_cell_angle_gamma 120.00
_space_group_name_H-M_alt 'R -3 m'
_space_group_IT_number 166
_space_group_name_Hall '-R 3 2"'
loop_
_atom_site_label
_atom_site_type_symbol
_atom_site_fract_x
_atom_site_fract_y
_atom_site_fract_z
_atom_site_occupancy
Pu1 Pu 0.0000 0.0000 0.0000 1
As1 As 0.0000 0.0000 0.5000 1
S1 S 0.0000 0.0000 0.1087 1
```

Here is crystalline ReRuI2O at its relaxed geometry from Alexandria. Energies are from PBE-GGA.

Properties
For the uncorrected energy, the calculation gives -5.2908 eV per atom. Its formation energy without anion corrections is 666 meV per atom. Its energy above the most stable polymorph in this dataset is 0.00 kJ per mole of atoms.

```
data_ReRuI2O
_chemical_formula_sum 'Re1 Ru1 I2 O1'
_cell_length_a 5.430
_cell_length_b 5.430
_cell_length_c 3.693
_cell_angle_alpha 90.00
_cell_angle_beta 90.00
_cell_angle_gamma 90.00
_space_group_name_H-M_alt 'P 4/m m m'
_space_group_IT_number 123
_space_group_name_Hall '-P 4 2'
loop_
_atom_site_label
_atom_site_type_symbol
_atom_site_fract_x
_atom_site_fract_y
_atom_site_fract_z
_atom_site_occupancy
Re1 Re 0.000 0.000 0.000 1
Ru1 Ru 0.500 0.500 0.500 1
I1 I 0.000 0.500 0.000 1
O1 O 0.000 0.000 0.500 1
```